Here is Sm3ZnPt2 after structural relaxation from the Alexandria database. Energies are from PBE.

Lattice parameters (Å, degrees): 4.045 11.989 12.140 90.00 90.00 90.00
Element x y z (fractional)
Pt 0.750 0.192 0.003
Pt 0.250 0.692 0.497
Pt 0.250 0.808 0.997
Pt 0.250 0.495 0.815
Pt 0.750 0.308 0.503
Pt 0.750 0.505 0.185
Pt 0.750 0.995 0.685
Pt 0.250 0.005 0.315
Sm 0.750 0.927 0.132
Sm 0.750 0.873 0.449
Sm 0.750 0.627 0.949
Sm 0.250 0.679 0.207
Sm 0.750 0.321 0.793
Sm 0.750 0.573 0.632
Sm 0.250 0.073 0.868
Sm 0.250 0.427 0.368
Sm 0.250 0.127 0.551
Sm 0.250 0.821 0.707
Sm 0.750 0.179 0.293
Sm 0.250 0.373 0.051
Zn 0.250 0.378 0.620
Zn 0.750 0.878 0.880
Zn 0.750 0.622 0.380
Zn 0.250 0.122 0.120

Summary:
Formation energy ... -5.2 eV per formula unit